(1)
Here is a relaxed structure of Na2TlGa from Alexandria. Energies are from PBE-GGA.

Values from the calculation:
Polymorph energy (0 for the lowest one), meV/atom: 0
Energy of formation, eV per atom: -0.07

a b c (Å): 4.7908 6.1341 8.5976
angles (deg): 75.76 73.82 67.01
Positions (direct):
Na 0.8166 0.3450 0.0217
Na 0.4244 0.4371 0.7140
Na 0.8180 0.8386 0.5255
Na 0.2163 0.2364 0.3311
Tl 0.1195 0.0239 0.7371
Tl 0.5180 0.6491 0.3149
Ga 0.0666 0.7626 0.1041
Ga 0.5628 0.9237 0.9507

---

(2)
Here is a relaxed structure of ZrGaW2 from Alexandria. Energies are from PBE-GGA.

Values from the calculation:
Energy of formation, eV per atom: 0.73

a b c (Å): 7.5831 7.5831 5.9681
angles (deg): 50.56 50.56 90.00
Positions (direct):
Zr 0.0000 0.0000 0.0000
Zr 0.7500 0.2500 0.5000
W 0.8750 0.8326 0.7500
W 0.5826 0.1250 0.2500
W 0.1674 0.6250 0.2500
W 0.3750 0.4174 0.7500
Ga 0.5000 0.5000 0.0000
Ga 0.2500 0.7500 0.5000

---

(3)
Here is a relaxed structure of K2ErHfSe4 from Alexandria. Energies are from PBE-GGA.

Values from the calculation:
Uncorrected formation energy, eV/atom: -1.49

a b c (Å): 4.0153 7.0053 8.0486
angles (deg): 106.62 90.00 90.00
Positions (direct):
Se 0.0000 0.2780 0.8000
Se 0.0000 0.7220 0.2000
Se 0.5000 0.2466 0.2044
Se 0.5000 0.7534 0.7956
Er 0.0000 0.0000 0.0000
K 0.0000 0.5000 0.5000
K 0.5000 0.0000 0.5000
Hf 0.5000 0.5000 0.0000

---

(4)
Here is a relaxed structure of YInSbTe2 from Alexandria. Energies are from PBE-GGA.

Values from the calculation:
Polymorph energy (0 for the lowest one), meV/atom: 0
Uncorrected formation energy, eV/atom: -0.16

a b c (Å): 5.8794 5.8794 5.8577
angles (deg): 90.00 90.00 90.00
Positions (direct):
Te 0.0000 0.5000 0.0000
Te 0.5000 0.0000 0.0000
In 0.5000 0.5000 0.5000
Sb 0.0000 0.0000 0.5000
Y 0.0000 0.0000 0.0000

---

(5)
Here is a relaxed structure of Ba2ThInTe5 from Alexandria. Energies are from PBE-GGA.

Values from the calculation:
Uncorrected formation energy, eV/atom: -1.22

a b c (Å): 4.7635 10.3171 14.4641
angles (deg): 90.00 90.00 103.35
Positions (direct):
In 0.5347 0.0695 0.9524
In 0.4653 0.9305 0.4524
Te 0.3633 0.7265 0.0006
Te 0.6367 0.2735 0.5006
Te 0.0564 0.1128 0.0696
Te 0.9436 0.8872 0.5696
Te 0.2839 0.5677 0.6598
Te 0.3124 0.6248 0.3707
Te 0.4918 0.9835 0.7609
Te 0.7161 0.4323 0.1598
Te 0.5082 0.0165 0.2609
Te 0.6876 0.3752 0.8707
Ba 0.8913 0.7826 0.1842
Ba 0.1087 0.2174 0.6842
Ba 0.1327 0.2654 0.3100
Ba 0.8673 0.7346 0.8100
Th 0.7907 0.5815 0.5158
Th 0.2093 0.4185 0.0158

---

(6)
Here is a relaxed structure of Er3Al4Pt4 from Alexandria. Energies are from PBE-GGA.

Values from the calculation:
Energy of formation, eV per atom: -1.15

a b c (Å): 4.0936 7.2219 8.1741
angles (deg): 116.22 104.50 90.00
Positions (direct):
Pt 0.2177 0.7177 0.4353
Pt 0.7823 0.2823 0.5647
Pt 0.5000 0.7959 0.0000
Pt 0.5000 0.2041 0.0000
Al 0.6771 0.4784 0.3542
Al 0.6771 0.8758 0.3542
Al 0.3229 0.5216 0.6458
Al 0.3229 0.1242 0.6458
Er 0.0000 0.5000 0.0000
Er 0.8809 0.8809 0.7619
Er 0.1191 0.1191 0.2381

---

(7)
Here is a relaxed structure of ZrGa3B from Alexandria. Energies are from PBE-GGA.

Values from the calculation:
Polymorph energy (0 for the lowest one), meV/atom: 1081
Energy of formation, eV per atom: 1.45

a b c (Å): 5.2236 5.2236 5.2236
angles (deg): 90.00 90.00 90.00
Positions (direct):
Ga 0.0000 0.0000 0.5000
Ga 0.0000 0.5000 0.0000
Ga 0.5000 0.0000 0.0000
Zr 0.0000 0.0000 0.0000
B 0.5000 0.5000 0.5000

---

(8)
Here is a relaxed structure of TaNi2Mo from Alexandria. Energies are from PBE-GGA.

Values from the calculation:
Polymorph energy (0 for the lowest one), meV/atom: 30
Energy of formation, eV per atom: -0.10

a b c (Å): 4.3177 2.6814 4.7880
angles (deg): 85.49 90.00 90.00
Positions (direct):
Ni 0.5000 0.1272 0.2760
Ni 0.0000 0.1181 0.9673
Ta 0.0000 0.5483 0.4513
Mo 0.5000 0.7064 0.8054

---

Number 1: magnetization 0.00 μB per formula unit. Number 2: magnetization 0.00 μB per formula unit. Number 3: magnetization 0.00 μB per formula unit. Number 4: magnetization 0.00 μB per formula unit. Number 5: magnetization 0.00 μB per formula unit. Number 6: magnetization 0.00 μB per formula unit. Number 7: magnetization 0.00 μB per formula unit. Number 8: magnetization 0.00 μB per formula unit.